[1]
Hg4TeS3 | PBE-GGA | optimized geometry

```
16
Lattice="8.695 0.000 0.000 0.000 7.539 0.000 0.000 0.000 7.123" Properties=species:S:1:pos:R:3 pbc="T T T"
Hg 0.000 1.172 0.000
Hg 0.000 6.089 3.795
Hg 2.058 4.947 0.265
Hg 2.290 2.592 3.826
Hg 4.348 1.450 0.234
Hg 4.348 6.367 3.561
Hg 6.406 2.592 3.826
Hg 6.637 4.947 0.265
Te 0.000 1.230 2.854
Te 4.348 6.308 6.416
S 0.000 6.205 6.411
S 2.151 2.525 6.431
S 2.196 5.014 2.869
S 4.348 1.334 2.850
S 6.499 5.014 2.869
S 6.544 2.525 6.431
```

Summary:
DOS at the Fermi energy, states/eV per cell: 1.6

=====

[2]
Tl3HgTeS | PBE-GGA | optimized geometry

```
12
Lattice="8.944 0.000 0.000 0.000 4.442 0.000 -3.609 0.000 9.556" Properties=species:S:1:pos:R:3 pbc="T T T"
Tl 0.783 1.111 1.459
Tl 0.975 3.332 5.113
Tl -0.292 3.332 8.700
Tl 5.627 1.111 0.857
Tl 4.360 1.111 4.443
Tl 4.551 3.332 8.098
Hg -1.229 1.111 3.828
Hg 6.563 3.332 5.728
Te 2.971 3.332 2.633
Te 2.363 1.111 6.923
S -2.205 1.111 8.317
S 7.540 3.332 1.240
```

Summary:
DOS at the Fermi energy, states/eV per cell: 6.1

=====

[3]
Tl2HgTeS4 | PBE-GGA | optimized geometry

```
16
Lattice="5.723 -6.035 0.000 5.723 6.035 0.000 -5.636 0.000 5.944" Properties=species:S:1:pos:R:3 pbc="T T T"
Tl 0.000 0.000 0.000
Tl -2.818 0.000 2.972
Tl 2.861 3.017 0.000
Tl 0.044 -3.017 2.972
Hg 0.044 3.017 2.972
Hg 2.861 -3.017 0.000
Te 5.723 0.000 0.000
Te 2.905 0.000 2.972
S 2.654 2.763 3.064
S 0.191 0.046 3.191
S 3.009 -0.046 0.219
S 0.338 2.763 5.852
S 5.472 -2.763 0.092
S 2.801 0.046 5.725
S 5.619 -0.046 2.753
S 3.156 -2.763 2.880
```

Summary:
DOS at the Fermi energy, states/eV per cell: 2.2

=====

[4]
Tl2Hg2Te2S | PBE-GGA | optimized geometry

```
7
Lattice="4.624 0.000 0.000 -1.376 7.230 0.000 -0.641 -3.772 6.944" Properties=species:S:1:pos:R:3 pbc="T T T"
Tl 0.122 -0.388 2.046
Tl 2.485 3.846 4.898
Hg 0.020 0.968 6.228
Hg 2.587 2.491 0.716
Te 0.240 3.445 2.078
Te 2.367 0.013 4.866
S 2.312 0.000 0.000
```

=====

[5]
Y4HgTe2S | PBE-GGA | optimized geometry

```
8
Lattice="7.437 0.000 0.000 0.000 4.125 0.000 -2.307 0.000 7.115" Properties=species:S:1:pos:R:3 pbc="T T T"
Y 1.205 0.000 1.547
Y 0.091 2.062 5.452
Y 5.039 2.062 1.663
Y 3.925 0.000 5.568
Hg 3.718 0.000 0.000
Te -1.154 0.000 3.557
Te 2.565 2.062 3.557
S 0.000 2.062 0.000
```

Summary:
DOS at the Fermi energy, states/eV per cell: 3.6

=====

[6]
Th2HgS | PBE-GGA | optimized geometry

```
4
Lattice="1.966 1.135 8.163 -1.966 1.135 8.163 0.000 -2.270 8.163" Properties=species:S:1:pos:R:3 pbc="T T T"
Th 0.000 0.000 0.000
Th 0.000 0.000 4.787
Hg 0.000 0.000 18.730
S 0.000 0.000 14.643
```

Summary:
DOS at the Fermi energy, states/eV per cell: 2.7
Offset from the most stable computed form, meV/atom: 24

=====

| no. | formation energy (no corrections) (eV/f.u.) | total magnetization (μB per formula unit) | V (Å³ per atom) |
| --- | --- | --- | --- |
| 1 | -1.00 | 0.0 | 29.18 |
| 2 | -1.03 | 0.0 | 31.64 |
| 3 | -0.75 | 0.0 | 25.66 |
| 4 | -1.33 | 0.0 | 33.17 |
| 5 | -10.08 | 0.0 | 27.28 |
| 6 | -3.66 | 0.0 | 27.32 |